No. 1
Entry from Alexandria via LeMat-Bulk: an optimized crystal structure of Ti6VIr (PBE).

The space group is C2/m (No. 12) and the conventional cell measures 6.740, 5.703 and 7.532 Å, with angles of 90.00, 104.53 and 90.00 degrees. The distinct sites, in fractional coordinates, are Ti at (0.144, 0.000, 0.442), Ti at (0.197, 0.248, 0.801), V at (0.000, 0.500, 0.500) and Ir at (0.000, 0.000, 0.000).

Its crystal system is monoclinic.

=====

No. 2
Entry from Alexandria via LeMat-Bulk: an optimized crystal structure of Ti2VIr3 (PBE).

The space group is P4/mmm (No. 123) and the conventional cell measures 2.869, 2.869 and 10.728 Å, with angles of 90.00, 90.00 and 90.00 degrees. The distinct sites, in fractional coordinates, are Ti at (0.000, 0.000, 0.168), V at (0.000, 0.000, 0.500), Ir at (0.500, 0.500, 0.000) and Ir at (0.500, 0.500, 0.339).

Its crystal system is tetragonal.

=====

No. 3
Entry from Alexandria via LeMat-Bulk: an optimized crystal structure of Ti4VIr (PBE).

The space group is P2/m (No. 10) and the conventional cell measures 5.161, 2.807 and 6.670 Å, with angles of 90.00, 99.53 and 90.00 degrees. The distinct sites, in fractional coordinates, are Ti at (0.180, 0.000, 0.176), Ti at (0.310, 0.500, 0.819), V at (0.000, 0.500, 0.500) and Ir at (0.500, 0.000, 0.500).

Its crystal system is monoclinic.

=====

Short version: DFT formation energy = 11; -692; -151 meV/atom, in the order given.